Entry 1:
An optimized crystal structure of TiFe2Tc2, computed with PBE.

The space group is P4/mbm (No. 127) and the conventional cell measures 7.232, 7.232 and 2.613 Å, with angles of 90.00, 90.00 and 90.00 degrees. Symmetry generates all atoms from Ti at (0.000, 0.000, 0.000), Fe at (0.171, 0.329, 0.500) and Tc at (0.127, 0.627, 0.000).

The calculation puts the formation energy at 98 meV/atom. The calculation puts the total energy at -9.0126 eV per atom. As for the size of the total moment: 0.37 μB per formula unit. The energy relative to the lowest polymorph listed for this composition comes out at 8.2 kJ per mole of atoms.

Entry 2:
An optimized crystal structure of Ti4FeTc2, computed with PBE.

The space group is I4/mmm (No. 139) and the conventional cell measures 6.012, 6.012 and 6.164 Å, with angles of 90.00, 90.00 and 90.00 degrees. Symmetry generates all atoms from Ti at (0.250, 0.250, 0.250), Fe at (0.000, 0.000, 0.000) and Tc at (0.000, 0.500, 0.000).

The calculation puts the formation energy at -192 meV/atom. The calculation puts the total energy at -8.8741 eV per atom. As for the size of the total moment: 0.00 μB per formula unit.

Entry 3:
An optimized crystal structure of Ti4FeTc, computed with PBE.

The space group is P4/mmm (No. 123) and the conventional cell measures 3.073, 3.073 and 9.546 Å, with angles of 90.00, 90.00 and 90.00 degrees. Symmetry generates all atoms from Ti at (0.000, 0.000, 0.149), Ti at (0.500, 0.500, 0.343), Fe at (0.500, 0.500, 0.000) and Tc at (0.000, 0.000, 0.500).

The calculation puts the formation energy at -274 meV/atom. The calculation puts the total energy at -8.6752 eV per atom. As for the size of the total moment: 0.00 μB per formula unit. The energy relative to the lowest polymorph listed for this composition comes out at 0.0 kJ per mole of atoms.

Entry 4:
An optimized crystal structure of Ti2FeTc, computed with PBE.

The space group is I-42d (No. 122) and the conventional cell measures 6.657, 6.657 and 5.353 Å, with angles of 90.00, 90.00 and 90.00 degrees. Symmetry generates all atoms from Ti at (0.228, 0.250, 0.125), Fe at (0.000, 0.000, 0.000) and Tc at (0.000, 0.000, 0.500).

The calculation puts the formation energy at 200 meV/atom. The calculation puts the total energy at -8.4542 eV per atom. As for the size of the total moment: 0.02 μB per formula unit.

What did the third record say?
An optimized crystal structure of Ti4FeTc, computed with PBE.

The space group is P4/mmm (No. 123) and the conventional cell measures 3.073, 3.073 and 9.546 Å, with angles of 90.00, 90.00 and 90.00 degrees. Symmetry generates all atoms from Ti at (0.000, 0.000, 0.149), Ti at (0.500, 0.500, 0.343), Fe at (0.500, 0.500, 0.000) and Tc at (0.000, 0.000, 0.500).

The calculation puts the formation energy at -274 meV/atom. The calculation puts the total energy at -8.6752 eV per atom. As for the size of the total moment: 0.00 μB per formula unit. The energy relative to the lowest polymorph listed for this composition comes out at 0.0 kJ per mole of atoms.